# 1
VASP calculation (PBE) on a relaxed structure of Tb14DyZr.

a = 7.0715 Å, b = 7.0715 Å, c = 9.9758 Å
α = 90.00°, β = 90.00°, γ = 90.00°
Fractional positions:
Tb  0.0000  0.0000  0.0000
Tb  0.0000  0.5000  0.0000
Tb  0.0000  0.5000  0.5000
Tb  0.2452  0.2452  0.2554
Tb  0.2452  0.2452  0.7446
Tb  0.2452  0.7548  0.2554
Tb  0.2452  0.7548  0.7446
Tb  0.5000  0.0000  0.0000
Tb  0.5000  0.0000  0.5000
Tb  0.5000  0.5000  0.0000
Tb  0.7548  0.2452  0.2554
Tb  0.7548  0.2452  0.7446
Tb  0.7548  0.7548  0.2554
Tb  0.7548  0.7548  0.7446
Dy  0.5000  0.5000  0.5000
Zr  0.0000  0.0000  0.5000

space group: P4/mmm, No. 123
energy relative to the elements: 0.0355 eV/atom

***

# 2
VASP calculation (PBE) on a relaxed structure of AgB3Mo.

a = 4.1715 Å, b = 4.1715 Å, c = 4.1715 Å
α = 90.00°, β = 90.00°, γ = 90.00°
Fractional positions:
Ag  0.0000  0.0000  0.0000
B  0.0000  0.5000  0.5000
B  0.5000  0.0000  0.5000
B  0.5000  0.5000  0.0000
Mo  0.5000  0.5000  0.5000

space group: Pm-3m, No. 221
energy relative to the elements: 1.3285 eV/atom

***

# 3
VASP calculation (PBE) on a relaxed structure of Nd8Y5Er.

a = 8.6132 Å, b = 8.6132 Å, c = 8.6132 Å
α = 110.96°, β = 110.96°, γ = 106.54°
Fractional positions:
Nd  0.1559  0.4264  0.0874
Nd  0.3390  0.0684  0.9126
Nd  0.4231  0.1611  0.3966
Nd  0.5736  0.6610  0.7295
Nd  0.7644  0.0264  0.6034
Nd  0.8389  0.2356  0.2620
Nd  0.9316  0.8441  0.2705
Nd  0.9736  0.5769  0.7380
Y  0.0000  0.0000  0.0000
Y  0.2216  0.3155  0.6870
Y  0.4654  0.7784  0.0939
Y  0.6285  0.5346  0.3130
Y  0.6845  0.3715  0.9061
Er  0.2500  0.7500  0.5000

space group: I-4, No. 82
energy relative to the elements: 0.2584 eV/atom

***

# 4
VASP calculation (PBE) on a relaxed structure of TaFeAu.

a = 5.0258 Å, b = 5.0258 Å, c = 5.0258 Å
α = 142.32°, β = 142.32°, γ = 54.35°
Fractional positions:
Ta  0.0000  0.0000  0.0000
Fe  0.3685  0.3685  0.0000
Au  0.6880  0.6880  0.0000

space group: I4mm, No. 107
energy relative to the elements: -0.0232 eV/atom

***

# 5
VASP calculation (PBE) on a relaxed structure of Cs2CeI4.

a = 8.1471 Å, b = 8.1471 Å, c = 8.1471 Å
α = 112.41°, β = 112.41°, γ = 103.74°
Fractional positions:
Cs  0.2500  0.7500  0.5000
Cs  0.7500  0.2500  0.5000
Ce  0.0000  0.0000  0.0000
I  0.2437  0.7528  0.0000
I  0.2472  0.2472  0.4908
I  0.7528  0.2437  0.0000
I  0.7563  0.7563  0.5092

space group: I-42m, No. 121
formation energy (no corrections): -1.250 eV per atom

***

| no. | magnetic moment (μB per formula unit) | electronic total energy (eV per atom) |
| --- | --- | --- |
| 1 | 0.00 | -4.84 |
| 2 | 0.00 | -5.41 |
| 3 | 0.00 | -5.10 |
| 4 | 0.89 | -7.89 |
| 5 | 2.00 | -3.23 |